# 1
PmGe2IrRh | the Alexandria database | PBE-GGA | relaxed; energy of formation = -0.841 eV per atom
1.0
4.178 0.000 0.000
0.000 4.178 0.000
-2.089 -2.089 5.244
Pm Ge Ir Rh
1 2 1 1
Cartesian
0.000 0.000 0.000
2.089 2.089 1.290
0.000 0.000 3.954
0.000 2.089 2.622
2.089 0.000 2.622

***

# 2
Pm2Ge4Ir3Ru | the Alexandria database | PBE-GGA | relaxed; energy of formation = -0.748 eV per atom
1.0
-4.020 -1.514 -0.431
0.793 -2.968 3.034
-3.131 6.323 7.004
Pm Ge Ir Ru
2 4 3 1
Cartesian
-2.788 0.814 1.525
-1.957 3.268 6.781
-1.614 -2.241 1.301
0.000 0.000 0.000
-3.970 3.201 4.169
-0.775 0.881 4.137
-1.566 3.161 3.502
-4.745 4.765 5.902
0.000 -0.683 2.404
-3.179 0.921 4.804

***

# 3
PmGeIrRu | the Alexandria database | PBE-GGA | relaxed; energy of formation = -0.248 eV per atom
1.0
-0.107 2.113 4.126
2.005 -1.990 3.677
3.882 1.803 1.783
Ru Ge Ir Pm
1 1 1 1
Cartesian
1.445 0.481 2.396
0.000 0.000 0.000
4.335 1.444 7.189
2.890 0.963 4.793

***

# 4
PmGe2IrRu | the Alexandria database | PBE-GGA | relaxed; energy of formation = -0.743 eV per atom
1.0
-2.349 -2.177 -2.787
3.246 0.000 -2.736
1.238 -3.295 4.763
Pm Ge Ir Ru
1 2 1 1
Cartesian
0.000 0.000 0.000
0.879 -2.205 -2.252
1.257 -3.267 1.492
-0.331 -3.280 -0.393
2.467 -2.192 -0.367

***

# 5
Pm6Ge2IrS3 | the Alexandria database | PBE-GGA | relaxed; energy relative to the elements, uncorrected = -1.371 eV per atom
1.0
-1.144 -3.760 1.273
8.023 -1.987 1.341
-2.209 5.410 7.289
Pm Ge Ir S
6 2 1 3
Cartesian
5.488 0.559 6.581
3.200 -1.867 4.066
-0.818 -0.896 3.322
1.945 -0.481 0.328
2.725 0.144 9.576
1.470 1.529 5.837
2.909 -0.848 6.814
1.762 0.510 3.090
-0.572 -1.880 0.637
3.439 -2.874 1.307
-1.076 0.124 6.103
5.746 -0.462 3.800

***

# 6
Pm2GeSb3Ir4 | the Alexandria database | PBE-GGA | relaxed; energy relative to the elements, uncorrected = -0.624 eV per atom
1.0
-2.244 -3.287 1.888
2.381 0.485 3.674
-7.203 7.063 3.735
Pm Ge Sb Ir
2 1 3 4
Cartesian
-2.954 0.153 1.894
-4.181 5.510 4.622
-3.533 2.131 4.648
-3.601 3.532 1.867
-7.321 4.436 4.158
0.187 1.227 2.358
0.068 -1.401 2.781
0.000 0.000 0.000
-5.604 2.752 3.268
-1.530 2.911 3.248

***

# 7
Pm2ScGe4Ir3 | the Alexandria database | PBE-GGA | relaxed; energy of formation = -0.779 eV per atom
1.0
4.234 0.000 0.000
0.000 4.234 0.000
0.000 0.000 10.856
Pm Sc Ge Ir
2 1 4 3
Cartesian
2.117 0.000 2.577
0.000 2.117 8.279
2.117 2.117 5.428
2.117 2.117 0.000
0.000 0.000 0.000
2.117 0.000 7.085
0.000 2.117 3.771
0.000 0.000 5.428
2.117 0.000 9.543
0.000 2.117 1.313

***

# 8
Pm2ScGe3Ir4 | the Alexandria database | PBE-GGA | relaxed; energy of formation = -0.838 eV per atom
1.0
-3.331 2.236 -1.089
-0.621 -2.510 -3.255
-6.393 -6.491 6.225
Pm Sc Ge Ir
2 1 3 4
Cartesian
-3.174 -0.413 0.924
-5.195 -6.215 3.129
-5.172 -3.383 0.940
-3.196 -3.245 3.113
-7.256 -4.558 4.899
-1.113 -2.070 -0.846
-1.976 -0.137 -2.172
0.000 0.000 0.000
-5.821 -3.101 3.502
-2.548 -3.527 0.551

***

# 9
Pm6GeIr2Se3 | the Alexandria database | PBE-GGA | relaxed; energy relative to the elements, uncorrected = -1.258 eV per atom
1.0
4.166 0.000 0.000
0.000 8.579 0.081
-2.083 -2.707 8.929
Pm Ge Ir Se
6 1 2 3
Cartesian
0.000 5.923 6.041
2.083 3.951 3.155
2.083 -0.051 2.968
0.000 2.096 0.130
2.083 3.776 8.880
0.000 1.921 5.854
2.083 0.000 0.000
2.083 3.932 6.003
0.000 1.940 3.006
2.083 4.290 0.040
2.083 -0.393 6.014
0.000 6.265 2.996

***

# 10
Pm6Ge2IrSe3 | the Alexandria database | PBE-GGA | relaxed; energy relative to the elements, uncorrected = -1.320 eV per atom
1.0
-0.767 -3.766 1.714
4.807 -3.720 -6.024
6.316 3.813 6.038
Pm Ge Ir Se
6 2 1 3
Cartesian
8.426 -2.076 -0.792
4.413 -3.386 -0.301
1.930 -1.597 2.520
1.165 -0.871 -1.393
9.192 -2.802 3.121
5.943 -0.286 2.029
6.772 -3.068 1.454
3.585 -0.605 0.274
-0.383 -1.883 0.857
2.020 -3.743 -2.155
4.336 -1.224 4.417
6.020 -2.449 -2.688

***

# 11
Pm8Ge3IrSe4 | the Alexandria database | PBE-GGA | relaxed; energy relative to the elements, uncorrected = -1.336 eV per atom
1.0
-3.292 -5.617 5.363
7.785 -1.569 3.135
-2.920 7.912 -0.138
Pm Ge Ir Se
8 3 1 4
Cartesian
2.019 5.337 3.461
3.502 1.320 3.533
-0.310 2.170 2.083
0.347 2.484 6.185
1.226 -1.758 2.176
1.883 -1.444 6.277
-1.929 -0.594 4.827
-0.446 -4.611 4.899
2.247 -3.593 4.249
0.787 0.363 4.180
2.433 3.172 1.499
3.893 -0.784 1.568
-1.646 -2.809 2.681
-3.106 1.147 2.612
0.000 0.000 0.000
-1.460 3.956 -0.069

***

# 12
Pm4GeIrSe2 | the Alexandria database | PBE-GGA | relaxed; energy relative to the elements, uncorrected = -1.276 eV per atom
1.0
4.188 0.000 0.000
0.000 7.247 0.116
0.000 -2.544 7.041
Pm Ge Ir Se
4 1 1 2
Cartesian
2.094 1.151 1.653
2.094 3.553 5.505
0.000 -0.160 5.426
0.000 4.863 1.732
2.094 3.624 0.058
0.000 0.000 0.000
2.094 -1.272 3.521
0.000 2.352 3.579

***

no.,total magnetic moment (Bohr magnetons per cell)
1,0.0
2,0.0
3,0.0
4,0.0
5,0.0
6,0.0
7,0.0
8,0.0
9,0.0
10,0.0
11,0.0
12,0.0